Entry 1:
Here is an optimized crystal structure of TlBi2SeI from Alexandria via LeMat-Bulk. Energies are from PBE-GGA. Values from VASP.

Output
Crystal system ... tetragonal
Total energy ... -12.3 eV/cell
N(E_F) ... 4.4 states/eV per cell

Structure (Quantum ESPRESSO input):
```
&SYSTEM
  ibrav = 0, nat = 5, ntyp = 4
/
ATOMIC_SPECIES
Se 78.96 Se.upf
Bi 208.98 Bi.upf
I 126.90 I.upf
Tl 204.38 Tl.upf
CELL_PARAMETERS angstrom
-0.2576 4.6264 3.7485
-1.3660 -3.2954 3.9732
5.7559 -0.7672 1.3425
ATOMIC_POSITIONS angstrom
Se -0.6830 -1.6477 1.9866
Bi 2.8779 -0.3836 0.6712
Bi -0.1288 2.3132 1.8743
I 2.0662 0.2819 4.5321
Tl 0.0000 0.0000 0.0000
```

Entry 2:
Here is an optimized crystal structure of Sr2CaBe from Alexandria via LeMat-Bulk. Energies are from PBE-GGA. Values from VASP.

Output
Crystal system ... monoclinic
Total energy ... -8.0 eV/cell
N(E_F) ... 3.5 states/eV per cell
Energy of formation from the pure elements ... 265 meV/atom

Structure (Quantum ESPRESSO input):
```
&SYSTEM
  ibrav = 0, nat = 4, ntyp = 3
/
ATOMIC_SPECIES
Sr 87.62 Sr.upf
Ca 40.08 Ca.upf
Be 9.01 Be.upf
CELL_PARAMETERS angstrom
-2.2587 2.6109 1.7252
1.0395 -1.3806 3.4503
8.5825 4.9744 3.7085
ATOMIC_POSITIONS angstrom
Sr 1.5456 -0.9533 3.4661
Sr 4.3049 1.3695 3.5636
Ca 6.0871 4.0007 6.2317
Be 1.2761 2.2039 2.6523
```

Entry 3:
Here is an optimized crystal structure of LiPm2NiPt2 from Alexandria via LeMat-Bulk. Energies are from PBE-GGA. Values from VASP.

Output
Crystal system ... orthorhombic
Total energy ... -68.1 eV/cell
N(E_F) ... 4.5 states/eV per cell
Energy of formation from the pure elements ... -799 meV/atom

Structure (Quantum ESPRESSO input):
```
&SYSTEM
  ibrav = 0, nat = 12, ntyp = 4
/
ATOMIC_SPECIES
Pt 195.08 Pt.upf
Pm 145.00 Pm.upf
Ni 58.69 Ni.upf
Li 6.94 Li.upf
CELL_PARAMETERS angstrom
-5.8081 -0.6349 -0.6565
0.4193 -5.5845 1.6911
1.7352 5.0415 6.1001
ATOMIC_POSITIONS angstrom
Pt -4.5939 -0.0172 1.0824
Pt -1.4614 -2.4899 2.2583
Pt -2.1922 1.3121 4.8764
Pt 0.9403 -1.1607 6.0523
Pm -1.8629 -1.6502 5.1307
Pm -4.4371 -2.6320 2.5266
Pm 0.7835 1.4542 4.6080
Pm -1.7907 0.4724 2.0039
Ni -2.7992 -1.7136 0.0945
Ni -2.5896 -4.5058 0.9400
Li 0.1048 -1.3961 0.4228
Li 0.3145 -4.1883 1.2683
```

Entry 4:
Here is an optimized crystal structure of MnGaBRuSe from Alexandria via LeMat-Bulk. Energies are from PBE-GGA. Values from VASP.

Output
Crystal system ... orthorhombic
Total energy ... -62.7 eV/cell
N(E_F) ... 7.8 states/eV per cell

Structure (Quantum ESPRESSO input):
```
&SYSTEM
  ibrav = 0, nat = 10, ntyp = 5
/
ATOMIC_SPECIES
B 10.81 B.upf
Ru 101.07 Ru.upf
Se 78.96 Se.upf
Ga 69.72 Ga.upf
Mn 54.94 Mn.upf
CELL_PARAMETERS angstrom
3.3552 0.0000 0.0000
0.0000 4.2902 0.0000
0.0000 0.0000 10.6171
ATOMIC_POSITIONS angstrom
B 1.6776 0.0000 1.9556
B 1.6776 2.1451 7.2642
Ru 0.0000 2.1451 6.1321
Ru 0.0000 0.0000 0.8235
Se 0.0000 0.0000 4.9773
Se 0.0000 2.1451 10.2859
Ga 0.0000 0.0000 8.5747
Ga 0.0000 2.1451 3.2661
Mn 1.6776 0.0000 6.7473
Mn 1.6776 2.1451 1.4388
```

Entry 5:
Here is an optimized crystal structure of TmNbRe from Alexandria via LeMat-Bulk. Energies are from PBE-GGA. Values from VASP.

Output
Crystal system ... orthorhombic
Total energy ... -53.6 eV/cell
N(E_F) ... 5.6 states/eV per cell
Energy of formation from the pure elements ... 57 meV/atom

Structure (Quantum ESPRESSO input):
```
&SYSTEM
  ibrav = 0, nat = 6, ntyp = 3
/
ATOMIC_SPECIES
Tm 168.93 Tm.upf
Re 186.21 Re.upf
Nb 92.91 Nb.upf
CELL_PARAMETERS angstrom
-1.0599 -5.1128 0.2254
0.5320 2.1803 4.7199
-4.6051 2.4792 -2.3918
ATOMIC_POSITIONS angstrom
Tm 0.0186 -0.1716 3.2705
Tm -0.5465 -2.7608 1.6748
Re -2.9645 -2.0499 0.1532
Re -2.1685 1.5966 2.4004
Nb -1.7193 0.3577 0.0285
Nb -3.4137 -0.8110 2.5251
```

Entry 6:
Here is an optimized crystal structure of Y2CrP from Alexandria via LeMat-Bulk. Energies are from PBE-GGA. Values from VASP.

Output
Crystal system ... triclinic
Total energy ... -60.2 eV/cell
N(E_F) ... 6.8 states/eV per cell
Energy of formation from the pure elements ... -536 meV/atom

Structure (Quantum ESPRESSO input):
```
&SYSTEM
  ibrav = 0, nat = 8, ntyp = 3
/
ATOMIC_SPECIES
Y 88.91 Y.upf
Cr 52.00 Cr.upf
P 30.97 P.upf
CELL_PARAMETERS angstrom
3.9755 -0.0008 0.0017
-1.9375 5.6168 -0.0002
-0.2603 -0.5765 7.6071
ATOMIC_POSITIONS angstrom
Y -0.1302 -0.2882 3.8035
Y -0.1037 3.0110 2.4074
Y 1.8813 2.0285 5.2012
Y 0.0000 0.0000 0.0000
Cr -0.1067 2.4496 7.0945
Cr 1.8843 2.5899 0.5140
P -0.0942 4.1917 5.4381
P 1.8718 0.8479 2.1704
```

Entry 7:
Here is an optimized crystal structure of CuP2Pb from Alexandria via LeMat-Bulk. Energies are from PBE-GGA. Values from VASP.

Output
Crystal system ... orthorhombic
Total energy ... -17.6 eV/cell
N(E_F) ... 2.1 states/eV per cell
Energy of formation from the pure elements ... 256 meV/atom

Structure (Quantum ESPRESSO input):
```
&SYSTEM
  ibrav = 0, nat = 4, ntyp = 3
/
ATOMIC_SPECIES
Cu 63.55 Cu.upf
P 30.97 P.upf
Pb 207.20 Pb.upf
CELL_PARAMETERS angstrom
5.0060 -0.5416 0.1806
0.5217 5.0081 -0.1806
-2.0145 -3.1606 3.3673
ATOMIC_POSITIONS angstrom
Cu 0.6355 2.0404 1.5933
P 0.4687 0.3787 0.0000
P 2.2951 1.8545 0.0000
Pb 2.8776 -0.7345 1.7739
```

Entry 8:
Here is an optimized crystal structure of Nd4AlHg from Alexandria via LeMat-Bulk. Energies are from PBE-GGA. Values from VASP.

Output
Crystal system ... orthorhombic
Total energy ... -23.4 eV/cell
N(E_F) ... 6.4 states/eV per cell
Energy of formation from the pure elements ... -52 meV/atom

Structure (Quantum ESPRESSO input):
```
&SYSTEM
  ibrav = 0, nat = 6, ntyp = 3
/
ATOMIC_SPECIES
Hg 200.59 Hg.upf
Nd 144.24 Nd.upf
Al 26.98 Al.upf
CELL_PARAMETERS angstrom
3.8420 0.0000 0.0000
0.0000 8.6390 0.0068
0.0000 -0.0040 5.7957
ATOMIC_POSITIONS angstrom
Hg 1.9210 4.3175 2.9012
Nd 0.0000 1.7793 2.9024
Nd 1.9210 6.1997 5.7977
Nd 0.0000 6.8557 2.9000
Nd 1.9210 2.4354 0.0047
Al 0.0000 0.0000 0.0000
```

Entry 9:
Here is an optimized crystal structure of Pm2Si from Alexandria via LeMat-Bulk. Energies are from PBE-GGA. Values from VASP.

Output
Crystal system ... cubic
Total energy ... -16.3 eV/cell
N(E_F) ... 2.6 states/eV per cell

Structure (Quantum ESPRESSO input):
```
&SYSTEM
  ibrav = 0, nat = 3, ntyp = 2
/
ATOMIC_SPECIES
Pm 145.00 Pm.upf
Si 28.09 Si.upf
CELL_PARAMETERS angstrom
-0.0817 4.5919 -1.9498
0.5929 0.6349 -4.9132
-3.8588 1.4480 -2.8119
ATOMIC_POSITIONS angstrom
Pm -0.8369 1.6687 -2.4187
Pm -2.5106 5.0061 -7.2562
Si 0.0000 0.0000 0.0000
```

Entry 10:
Here is an optimized crystal structure of NdSm2Cd2 from Alexandria via LeMat-Bulk. Energies are from PBE-GGA. Values from VASP.

Output
Crystal system ... monoclinic
Total energy ... -33.9 eV/cell
N(E_F) ... 9.8 states/eV per cell
Energy of formation from the pure elements ... -187 meV/atom

Structure (Quantum ESPRESSO input):
```
&SYSTEM
  ibrav = 0, nat = 10, ntyp = 3
/
ATOMIC_SPECIES
Sm 150.36 Sm.upf
Nd 144.24 Nd.upf
Cd 112.41 Cd.upf
CELL_PARAMETERS angstrom
-0.1737 3.8399 -3.1993
1.0772 -4.5224 -5.4864
-9.0820 1.6420 6.3728
ATOMIC_POSITIONS angstrom
Sm -1.4849 -0.5696 -4.5118
Sm -6.6936 1.5292 2.1989
Sm -2.0235 1.6916 -1.7686
Sm -6.1551 -0.7320 -0.5443
Nd 0.2693 -1.1306 -1.3716
Nd 0.6341 0.4482 -7.3141
Cd -2.9683 -1.5114 -1.6529
Cd -3.5069 0.7497 1.0903
Cd -4.6716 0.2099 -3.4032
Cd -5.2102 2.4710 -0.6600
```